1.
Computed, not measured: crystalline Ni4MoAs at its relaxed geometry at the PBE-GGA level of DFT.

POSCAR file:
```
Ni4MoAs
1.0
0.0000 3.3489 3.3489
3.3489 0.0000 3.3489
3.3489 3.3489 0.0000
Ni As Mo
4 1 1
Cartesian
4.1906 4.1906 4.1906 Ni
4.1906 2.5072 2.5072 Ni
2.5072 4.1906 2.5072 Ni
2.5072 2.5072 4.1906 Ni
1.6744 1.6744 1.6744 As
0.0000 0.0000 0.0000 Mo
```

Values from the calculation:
E_form in eV/atom: 0.173
SG: F-43m (216)

---

2.
Computed, not measured: crystalline Ce2Tm2Co3 at its relaxed geometry at the PBE-GGA level of DFT.

POSCAR file:
```
Ce2Tm2Co3
1.0
3.7727 -0.0038 0.0012
-1.8799 6.2137 -0.0973
-0.0030 -1.0388 6.6764
Co Tm Ce
3 2 2
Cartesian
0.0000 0.0000 0.0000 Co
1.8850 3.0311 1.6074 Co
0.0049 2.1401 4.9728 Co
-0.0022 1.2552 2.4416 Tm
1.8920 3.9160 4.1386 Tm
0.0035 4.5219 0.6918 Ce
1.8864 0.6493 5.8885 Ce
```

Values from the calculation:
E above lowest polymorph in eV/atom: 0.104
E_form in eV/atom: -0.133
SG: P-1 (2)

---

3.
Computed, not measured: crystalline Sm5Y4Mg2 at its relaxed geometry at the PBE-GGA level of DFT.

POSCAR file:
```
Sm5Y4Mg2
1.0
-1.4542 -0.0427 3.2399
1.8290 -8.5807 0.7079
9.0160 10.3436 2.2364
Sm Y Mg
5 4 2
Cartesian
4.6727 -3.8696 2.0463 Sm
2.4924 1.2919 1.1357 Sm
-0.7271 -0.0213 1.6199 Sm
6.8984 0.4283 5.0484 Sm
4.7182 5.5898 4.1378 Sm
7.4072 3.9039 5.3226 Y
3.8678 -0.8197 3.6718 Y
5.5231 2.5399 2.5123 Y
1.9836 -2.1837 0.8616 Y
1.5134 -5.1632 2.5578 Mg
7.8774 6.8834 3.6263 Mg
```

Values from the calculation:
E_form in eV/atom: 0.049
SG: C2/m (12)

---

4.
Computed, not measured: crystalline HfCuSe2 at its relaxed geometry at the PBE-GGA level of DFT.

POSCAR file:
```
HfCuSe2
1.0
0.0000 3.3130 3.3130
3.3130 0.0000 3.3130
3.3130 3.3130 0.0000
Cu Hf Se
1 1 2
Cartesian
0.0000 0.0000 0.0000 Cu
3.3130 3.3130 3.3130 Hf
4.9695 4.9695 4.9695 Se
1.6565 1.6565 1.6565 Se
```

Values from the calculation:
ΔE_f (raw) in eV per atom: -0.385
SG: Fm-3m (225)

---

5.
Computed, not measured: crystalline HgMoCl3 at its relaxed geometry at the PBE-GGA level of DFT.

POSCAR file:
```
HgMoCl3
1.0
-4.6340 -0.7391 2.3928
-2.1622 -1.3586 -4.6070
1.2636 -5.0352 0.8919
Cl Hg Mo
3 1 1
Cartesian
-1.0811 -0.6793 -2.3035 Cl
0.6318 -2.5176 0.4459 Cl
-2.3170 -0.3695 1.1964 Cl
0.0000 0.0000 0.0000 Hg
-2.7663 -3.5664 -0.6612 Mo
```

Values from the calculation:
E above lowest polymorph in eV/atom: 1.074
ΔE_f (raw) in eV per atom: 0.448
SG: Pm-3m (221)

---

6.
Computed, not measured: crystalline CaBiS2Cl at its relaxed geometry at the PBE-GGA level of DFT.

POSCAR file:
```
CaBiS2Cl
1.0
4.0229 0.0000 0.0000
0.0000 7.0544 1.4944
0.0000 -0.0583 11.5897
S Bi Ca Cl
4 2 2 2
Cartesian
1.0057 4.2024 10.8877 S
1.0057 2.1949 5.4556 S
3.0172 2.7936 2.1965 S
3.0172 4.8012 7.6285 S
1.0057 3.3104 8.4400 Bi
3.0172 3.6857 4.6441 Bi
3.0172 5.2199 12.4406 Ca
1.0057 1.7762 0.6436 Ca
1.0057 6.0770 2.7061 Cl
3.0172 0.9191 10.3781 Cl
```

Values from the calculation:
E above lowest polymorph in eV/atom: 0.000
ΔE_f (raw) in eV per atom: -1.235
SG: P2_1/m (11)

---

7.
Computed, not measured: crystalline CsNaTl6In at its relaxed geometry at the PBE-GGA level of DFT.

POSCAR file:
```
CsNaTl6In
1.0
-6.8310 6.3538 -5.2938
-5.1107 -6.3808 -1.0638
2.5610 1.6780 9.5766
Tl Na Cs In
12 2 2 2
Cartesian
-2.9532 -0.7773 2.8778 Tl
-1.1579 -0.6912 5.9150 Tl
-4.4582 2.3786 3.3573 Tl
-8.3483 -1.0719 -1.3813 Tl
-6.2744 4.7748 -2.2904 Tl
-8.2228 2.3422 -2.6959 Tl
-1.0324 2.7229 4.6003 Tl
-3.1063 -3.1238 5.5094 Tl
-2.9741 1.7050 0.2673 Tl
-6.4275 2.4283 0.3412 Tl
-6.4066 -0.0540 2.9517 Tl
-4.9225 -0.7276 -0.1383 Tl
-5.9709 -0.0135 -3.1788 Na
-3.4155 3.1769 -2.6469 Na
-5.2178 6.2756 3.3980 Cs
-4.1629 -4.6246 -0.1790 Cs
-2.1350 4.0159 2.1414 In
1.2805 0.8390 4.7883 In
```

Values from the calculation:
E_form in eV/atom: 0.016
SG: Imma (74)

---

8.
Computed, not measured: crystalline LaDy4Cu4 at its relaxed geometry at the PBE-GGA level of DFT.

POSCAR file:
```
LaDy4Cu4
1.0
-1.9989 2.5576 -4.5791
-8.4230 -2.6146 2.2165
-1.1230 7.6609 4.7691
Dy Cu La
8 8 2
Cartesian
-2.2500 4.3722 2.7376 Dy
-6.5005 0.0028 0.0857 Dy
-7.6949 1.1846 3.3341 Dy
-2.3632 3.8612 -0.9384 Dy
-4.6454 7.0907 3.2347 Dy
-5.4081 2.4984 -2.4374 Dy
-9.5806 4.2532 2.4311 Dy
-7.7367 7.1527 1.1787 Dy
-3.9800 1.7384 0.0400 Cu
-1.7924 2.0636 1.1632 Cu
-7.9841 1.5327 -1.7670 Cu
-5.1112 8.0551 0.6218 Cu
-8.2020 3.5566 4.7950 Cu
-3.7831 5.9654 0.7714 Cu
-8.2102 2.2123 0.6077 Cu
-7.1164 5.2918 3.3938 Cu
-5.7724 3.8020 1.2033 La
0.0000 0.0000 0.0000 La
```

Values from the calculation:
E_form in eV/atom: -0.040
SG: P4_2/n (86)

---

9.
Computed, not measured: crystalline Ho2TmPa at its relaxed geometry at the PBE-GGA level of DFT.

POSCAR file:
```
Ho2TmPa
1.0
-1.5175 2.9695 0.6355
-3.0272 -1.4230 -0.5796
-0.7148 -2.4535 9.7574
Ho Tm Pa
2 1 1
Cartesian
-0.5461 -1.8743 7.4540 Ho
-0.1687 -0.5792 2.3035 Ho
-2.6298 -0.4535 4.9067 Tm
-2.2724 0.7733 0.0280 Pa
```

Values from the calculation:
E above lowest polymorph in eV/atom: 0.022
E_form in eV/atom: 0.126
SG: P4/mmm (123)

---

10.
Computed, not measured: crystalline CeNi13 at its relaxed geometry at the PBE-GGA level of DFT.

POSCAR file:
```
CeNi13
1.0
6.8626 0.0000 3.9621
2.2875 6.4701 3.9621
0.0000 0.0000 7.9243
Ni Ce
26 2
Cartesian
6.5742 0.4079 6.3144 Ni
1.1117 1.9206 8.8506 Ni
3.2170 5.1557 7.4247 Ni
2.0411 4.5495 5.3880 Ni
0.0000 0.0000 0.0000 Ni
4.5751 3.2351 7.9243 Ni
2.6821 3.6429 9.3502 Ni
5.6867 5.1557 6.9979 Ni
5.9332 1.3144 8.4238 Ni
4.2867 3.6429 5.5720 Ni
4.8215 5.1557 9.3502 Ni
4.1805 6.0623 5.3880 Ni
7.1091 1.9206 10.4605 Ni
4.8635 2.8272 10.2765 Ni
3.4634 1.3144 8.8506 Ni
3.6456 4.5495 11.3869 Ni
8.0385 4.5495 6.9979 Ni
2.1813 0.4079 6.9979 Ni
5.5045 1.9206 4.4617 Ni
6.7564 3.6429 8.8506 Ni
4.3286 1.3144 6.4984 Ni
4.9697 0.4079 10.4605 Ni
6.4680 2.8272 6.4984 Ni
2.3937 2.8272 6.9979 Ni
2.5759 6.0623 9.5341 Ni
6.9688 6.0623 8.8506 Ni
2.2875 1.6175 3.9621 Ce
6.8626 4.8526 11.8864 Ce
```

Values from the calculation:
E_form in eV/atom: -0.082
SG: Fm-3c (226)

---

11.
Computed, not measured: crystalline Li2Bi2O5 at its relaxed geometry at the PBE-GGA level of DFT.

POSCAR file:
```
Li2Bi2O5
1.0
5.6143 0.0000 0.0000
0.0000 5.7294 0.0000
-2.8071 -2.8647 7.4862
O Bi Li
10 4 4
Cartesian
-1.2154 1.4470 6.6459 O
1.9766 2.2439 5.3256 O
-0.7939 2.4987 3.7431 O
4.0225 4.3117 0.8402 O
4.3989 1.4470 0.8402 O
3.6011 -0.3660 3.7431 O
0.8306 -0.6208 5.3256 O
0.8306 -0.6208 2.1606 O
-1.5917 -1.4177 6.6459 O
1.9766 2.2439 2.1606 O
2.8248 0.2022 1.8012 Bi
-0.0176 3.0669 5.6850 Bi
-0.0176 3.0669 1.8012 Bi
2.8248 0.2022 5.6850 Bi
2.8071 2.8931 0.0000 Li
2.8768 3.0703 3.7431 Li
0.0000 0.0284 0.0000 Li
-0.0697 0.2056 3.7431 Li
```

Values from the calculation:
ΔE_f (raw) in eV per atom: -1.244
SG: Ima2 (46)

---

12.
Computed, not measured: crystalline Cs7Rb2Au2 at its relaxed geometry at the PBE-GGA level of DFT.

POSCAR file:
```
Cs7Rb2Au2
1.0
-3.0382 -8.3751 -4.1417
6.5937 -0.4413 7.2702
-7.5982 -0.5630 6.8045
Au Cs Rb
2 7 2
Cartesian
0.4438 -5.5070 -0.0163 Au
3.1117 -3.3094 3.1447 Au
-3.7991 -0.2815 3.4022 Cs
-3.2686 -4.3166 -0.4972 Cs
2.7822 -6.9181 2.4614 Cs
-5.5845 -9.0250 4.7309 Cs
1.5417 -0.3543 5.2021 Cs
-6.8249 -2.4613 7.4715 Cs
-0.7742 -5.0627 10.4302 Cs
-0.4310 -4.5833 3.5502 Rb
-3.6117 -4.7961 6.3828 Rb
```

Values from the calculation:
E_form in eV/atom: -0.098
SG: C2/m (12)

---

Number 1: calculated total energy -6.261 eV per atom, spin magnetization 0.7 Bohr magnetons per cell. Number 2: calculated total energy -6.151 eV per atom, spin magnetization 0.0 Bohr magnetons per cell. Number 3: calculated total energy -4.737 eV per atom, spin magnetization 0.0 Bohr magnetons per cell. Number 4: calculated total energy -5.639 eV per atom, spin magnetization 0.0 Bohr magnetons per cell. Number 5: calculated total energy -2.887 eV per atom, spin magnetization 4.9 Bohr magnetons per cell. Number 6: calculated total energy -4.432 eV per atom, spin magnetization 0.0 Bohr magnetons per cell. Number 7: calculated total energy -2.107 eV per atom, spin magnetization 0.0 Bohr magnetons per cell. Number 8: calculated total energy -4.453 eV per atom, spin magnetization 0.0 Bohr magnetons per cell. Number 9: calculated total energy -5.654 eV per atom, spin magnetization 0.0 Bohr magnetons per cell. Number 10: calculated total energy -5.874 eV per atom, spin magnetization 11.6 Bohr magnetons per cell. Number 11: calculated total energy -5.286 eV per atom, spin magnetization 0.0 Bohr magnetons per cell. Number 12: calculated total energy -1.413 eV per atom, spin magnetization 0.0 Bohr magnetons per cell.